Model a:
## TbEuGe2 (PBE)

Data for a geometry-optimized TbEuGe2 structure.

Computed properties:
The volume is 26.8 Å³ per atom. Its density is 7.077 g/cm3. Its total magnetization is 6.85 μB per formula unit. The crystal system is trigonal.

abc: 3.883 3.883 8.499
angles: 76.80 76.80 60.00
Atoms (fractional coordinates):
Tb (0.000, 0.000, 0.000)
Eu (0.500, 0.500, 0.500)
Ge (0.253, 0.253, 0.242)
Ge (0.747, 0.747, 0.758)


Model b:
## TbEuGe2 (PBE)

Data for a geometry-optimized TbEuGe2 structure.

Computed properties:
The volume is 24.0 Å³ per atom. Its density is 7.905 g/cm3. Its total magnetization is 6.92 μB per formula unit. The crystal system is tetragonal.

abc: 3.403 3.403 8.276
angles: 90.00 90.00 90.00
Atoms (fractional coordinates):
Eu (0.500, 0.500, 0.000)
Ge (0.000, 0.000, 0.259)
Ge (0.000, 0.000, 0.741)
Tb (0.500, 0.500, 0.500)


Relative energies in meV per atom: model a 128; model b 0


Model a:
## EuThGe2 (PBE)

Data for a geometry-optimized EuThGe2 structure.

Computed properties:
The volume is 25.0 Å³ per atom. Its density is 8.802 g/cm3. Its total magnetization is 6.70 μB per formula unit. The crystal system is tetragonal.

abc: 3.460 3.460 8.342
angles: 90.00 90.00 90.00
Atoms (fractional coordinates):
Eu (0.500, 0.500, 0.500)
Th (0.500, 0.500, 0.000)
Ge (0.000, 0.000, 0.248)
Ge (0.000, 0.000, 0.752)


Model b:
## EuThGe2 (PBE)

Data for a geometry-optimized EuThGe2 structure.

Computed properties:
The volume is 29.0 Å³ per atom. Its density is 7.587 g/cm3. Its total magnetization is 7.03 μB per formula unit. The crystal system is trigonal.

abc: 4.362 4.362 7.467
angles: 73.02 73.02 60.00
Atoms (fractional coordinates):
Ge (0.246, 0.246, 0.263)
Ge (0.754, 0.754, 0.737)
Th (0.500, 0.500, 0.500)
Eu (0.000, 0.000, 0.000)


Relative energies in meV per atom: model a 0; model b 49


Model a:
## EuTiGe2 (PBE)

Data for a geometry-optimized EuTiGe2 structure.

Computed properties:
The volume is 20.4 Å³ per atom. Its density is 7.032 g/cm3. Its total magnetization is 7.59 μB per formula unit. The crystal system is tetragonal.

abc: 3.533 3.533 6.528
angles: 90.00 90.00 90.00
Atoms (fractional coordinates):
Ti (0.500, 0.500, 0.000)
Ge (0.000, 0.000, 0.194)
Ge (0.000, 0.000, 0.806)
Eu (0.500, 0.500, 0.500)


Model b:
## EuTiGe2 (PBE)

Data for a geometry-optimized EuTiGe2 structure.

Computed properties:
The volume is 22.4 Å³ per atom. Its density is 6.382 g/cm3. Its total magnetization is 6.92 μB per formula unit. The crystal system is trigonal.

abc: 4.237 4.237 6.272
angles: 70.26 70.26 60.00
Atoms (fractional coordinates):
Ge (0.725, 0.725, 0.824)
Ge (0.275, 0.275, 0.176)
Ti (0.000, 0.000, 0.000)
Eu (0.500, 0.500, 0.500)


Relative energies in meV per atom: model a 0; model b 40


Model a:
## EuHgH (PBE)

Data for a geometry-optimized EuHgH structure.

Computed properties:
The volume is 22.6 Å³ per atom. Its density is 8.653 g/cm3. Its total magnetization is 7.47 μB per formula unit. The crystal system is trigonal.

abc: 4.960 3.974 3.974
angles: 120.00 90.00 90.00
Atoms (fractional coordinates):
Eu (0.166, 0.000, 0.000)
Hg (0.666, 0.667, 0.333)
H (0.168, 0.333, 0.667)


Model b:
## EuHgH (PBE)

Data for a geometry-optimized EuHgH structure.

Computed properties:
The volume is 20.1 Å³ per atom. Its density is 9.715 g/cm3. Its total magnetization is 7.26 μB per formula unit. The crystal system is orthorhombic.

abc: 4.741 6.681 7.631
angles: 90.00 90.00 90.00
Atoms (fractional coordinates):
Hg (0.250, 0.633, 0.048)
Hg (0.250, 0.867, 0.548)
Hg (0.750, 0.133, 0.452)
Hg (0.750, 0.367, 0.952)
Eu (0.250, 0.130, 0.159)
Eu (0.750, 0.870, 0.841)
Eu (0.750, 0.630, 0.341)
Eu (0.250, 0.370, 0.659)
H (0.250, 0.040, 0.840)
H (0.750, 0.540, 0.660)
H (0.250, 0.460, 0.340)
H (0.750, 0.960, 0.160)


Relative energies in meV per atom: model a 79; model b 0


Model a:
## Eu2HgH (PBE)

Data for a geometry-optimized Eu2HgH structure.

Computed properties:
The volume is 25.1 Å³ per atom. Its density is 8.348 g/cm3. Its total magnetization is 15.14 μB per formula unit. The crystal system is trigonal.

abc: 3.880 3.880 8.033
angles: 76.02 76.02 60.00
Atoms (fractional coordinates):
Eu (0.729, 0.729, 0.812)
Eu (0.271, 0.271, 0.188)
H (0.000, 0.000, 0.000)
Hg (0.500, 0.500, 0.500)


Model b:
## Eu2HgH (PBE)

Data for a geometry-optimized Eu2HgH structure.

Computed properties:
The volume is 23.8 Å³ per atom. Its density is 8.830 g/cm3. Its total magnetization is 14.61 μB per formula unit. The crystal system is tetragonal.

abc: 3.491 3.491 7.803
angles: 90.00 90.00 90.00
Atoms (fractional coordinates):
Hg (0.500, 0.500, 0.500)
Eu (0.000, 0.000, 0.218)
Eu (0.000, 0.000, 0.782)
H (0.500, 0.500, 0.000)


Relative energies in meV per atom: model a 0; model b 151


Model a:
## EuHoH (PBE)

Data for a geometry-optimized EuHoH structure.

Computed properties:
The volume is 22.7 Å³ per atom. Its density is 7.756 g/cm3. Its total magnetization is 7.73 μB per formula unit. The crystal system is trigonal.

abc: 3.647 3.647 5.908
angles: 90.00 90.00 120.00
Atoms (fractional coordinates):
H (0.333, 0.667, 0.649)
Eu (0.000, 0.000, 0.918)
Ho (0.667, 0.333, 0.433)


Model b:
## EuHoH (PBE)

Data for a geometry-optimized EuHoH structure.

Computed properties:
The volume is 24.7 Å³ per atom. Its density is 7.131 g/cm3. Its total magnetization is 7.55 μB per formula unit. The crystal system is monoclinic.

abc: 8.439 5.269 8.606
angles: 90.00 129.30 90.00
Atoms (fractional coordinates):
Ho (0.924, 0.755, 0.320)
Ho (0.076, 0.245, 0.680)
Ho (0.576, 0.255, 0.180)
Ho (0.424, 0.745, 0.820)
Eu (0.803, 0.258, 0.941)
Eu (0.697, 0.758, 0.559)
Eu (0.197, 0.742, 0.059)
Eu (0.303, 0.242, 0.441)
H (0.318, 0.486, 0.933)
H (0.182, 0.986, 0.567)
H (0.818, 0.014, 0.433)
H (0.682, 0.514, 0.067)


Relative energies in meV per atom: model a 91; model b 0


Model a:
## Eu2InH (PBE)

Data for a geometry-optimized Eu2InH structure.

Computed properties:
The volume is 25.5 Å³ per atom. Its density is 6.845 g/cm3. Its total magnetization is 15.03 μB per formula unit. The crystal system is trigonal.

abc: 3.807 3.807 8.404
angles: 76.91 76.91 60.00
Atoms (fractional coordinates):
In (0.500, 0.500, 0.500)
H (0.000, 0.000, 0.000)
Eu (0.728, 0.728, 0.817)
Eu (0.272, 0.272, 0.183)


Model b:
## Eu2InH (PBE)

Data for a geometry-optimized Eu2InH structure.

Computed properties:
The volume is 23.4 Å³ per atom. Its density is 7.436 g/cm3. Its total magnetization is 14.57 μB per formula unit. The crystal system is tetragonal.

abc: 3.389 3.389 8.160
angles: 90.00 90.00 90.00
Atoms (fractional coordinates):
Eu (0.000, 0.000, 0.205)
Eu (0.000, 0.000, 0.795)
In (0.500, 0.500, 0.500)
H (0.500, 0.500, 0.000)


Relative energies in meV per atom: model a 0; model b 98


Model a:
## KEuH (PBE)

Data for a geometry-optimized KEuH structure.

Computed properties:
The volume is 36.4 Å³ per atom. Its density is 2.920 g/cm3. Its total magnetization is 7.59 μB per formula unit. The crystal system is tetragonal.

abc: 4.083 4.083 13.103
angles: 90.00 90.00 90.00
Atoms (fractional coordinates):
K (0.500, 0.000, 0.644)
K (0.000, 0.500, 0.356)
Eu (0.000, 0.500, 0.907)
Eu (0.500, 0.000, 0.093)
H (0.000, 0.000, 0.000)
H (0.500, 0.500, 0.000)


Model b:
## KEuH (PBE)

Data for a geometry-optimized KEuH structure.

Computed properties:
The volume is 30.6 Å³ per atom. Its density is 3.478 g/cm3. Its total magnetization is 7.39 μB per formula unit. The crystal system is trigonal.

abc: 3.876 3.876 7.049
angles: 90.00 90.00 120.00
Atoms (fractional coordinates):
Eu (0.333, 0.667, 0.551)
K (0.000, 0.000, 0.078)
H (0.667, 0.333, 0.370)


Relative energies in meV per atom: model a 0; model b 166